{
  "formula": "CdRe2W",
  "functional": "PBE",
  "state": "optimized geometry",
  "delta_e_f_ev_per_atom": 0.7084,
  "lattice_angstrom": [[-3.343, -1.337, 2.701], [-3.290, -2.612, -1.615], [-0.280, -4.309, 1.270]],
  "species": ["Cd", "Re", "Re", "W"],
  "fractional_positions": [[0.750, 0.750, 0.750], [0.250, 0.250, 0.250], [0.500, 0.500, 0.500], [0.000, 0.000, 0.000]]
}